Record 1
LaEu2Hg | PBE-GGA | optimized geometry

## Properties
- ΔH_f (0 K) (eV per atom) = -0.22
- D(E_F) (states/eV per cell) = 11.8
- offset from the most stable computed form (meV/atom) = 0
- E (eV/atom) = -6.67
- space group = P4/mmm

a b c (Å): 3.8417 3.8417 9.3992
angles (deg): 90.00 90.00 90.00
Fractional coordinates of all 4 atoms:
Eu (0.0000, 0.0000, 0.7954)
Eu (0.0000, 0.0000, 0.2046)
Hg (0.5000, 0.5000, 0.0000)
La (0.5000, 0.5000, 0.5000)



Record 2
Ru2WBr | PBE-GGA | optimized geometry

## Properties
- D(E_F) (states/eV per cell) = 3.4
- offset from the most stable computed form (meV/atom) = 368
- E (eV/atom) = -7.49
- space group = Imm2

a b c (Å): 5.3700 5.3700 5.3700
angles (deg): 147.92 130.65 60.08
Fractional coordinates of all 4 atoms:
Ru (0.9801, 0.9801, 0.0000)
Ru (0.2596, 0.7596, 0.5000)
Br (0.7465, 0.2465, 0.5000)
W (0.5138, 0.5138, 0.0000)



Record 3
Li6SnPd2 | PBE-GGA | optimized geometry

## Properties
- ΔH_f (0 K) (eV per atom) = -0.42
- D(E_F) (states/eV per cell) = 2.2
- offset from the most stable computed form (meV/atom) = 0
- E (eV/atom) = -3.29
- space group = R-3m

a b c (Å): 5.1819 5.1844 5.1844
angles (deg): 94.79 85.13 85.13
Fractional coordinates of all 9 atoms:
Li (0.1719, 0.4998, 0.1717)
Li (0.8281, 0.8283, 0.5002)
Li (0.8281, 0.5002, 0.8283)
Li (0.5000, 0.8279, 0.1721)
Li (0.1719, 0.1717, 0.4998)
Li (0.5000, 0.1721, 0.8279)
Sn (0.0000, 0.0000, 0.0000)
Pd (0.6653, 0.3348, 0.3348)
Pd (0.3347, 0.6652, 0.6652)